Computed, not measured: a geometry-optimized Na2YNp3Se6 structure at the GGA-PBE level of DFT.

Results
- Uncorrected formation energy: -1.2872 eV/atom
- Total energy: -7.02 eV/atom
- N(E_F): 28.77 states/eV per cell

abc: 7.183 7.183 7.216
angles: 99.51 99.51 119.95
Sites, in units of the cell vectors:
Na: 0.166 0.834 0.000
Na: 0.834 0.166 0.000
Y: 0.500 0.500 0.000
Np: 0.000 0.000 0.500
Np: 0.330 0.670 0.500
Np: 0.670 0.330 0.500
Se: 0.089 0.416 0.748
Se: 0.259 0.259 0.256
Se: 0.416 0.089 0.748
Se: 0.584 0.911 0.252
Se: 0.741 0.741 0.744
Se: 0.911 0.584 0.252